[1]
A plane-wave DFT calculation with PBE was carried out for crystalline CsLi2Hf at its relaxed geometry.

Results
**Mass density**: 4443 kg/m3
**DOS at the Fermi energy**: 14.34 states/eV per cell
**Space-group type**: I-42d (122)
**Formation energy from the elements**: 1126 meV per atom

```
CsLi2Hf
1.0
-4.167 4.167 3.500
4.167 -4.167 3.500
4.167 4.167 -3.500
Cs Li Hf
2 4 2
direct
0.000 0.000 0.000
0.750 0.250 0.500
0.146 0.625 0.021
0.375 0.396 0.521
0.604 0.125 0.979
0.875 0.854 0.479
0.250 0.750 0.500
0.500 0.500 0.000
```

[2]
A plane-wave DFT calculation with PBE was carried out for crystalline KTl9Pd2 at its relaxed geometry.

Results
**E above lowest polymorph**: 35 meV/atom
**Mass density**: 10190 kg/m3
**DOS at the Fermi energy**: 12.20 states/eV per cell
**Space-group type**: I4_1/amd (141)
**Formation energy from the elements**: -49 meV per atom

```
KTl9Pd2
1.0
-6.543 6.543 3.980
6.543 -6.543 3.980
6.543 6.543 -3.980
K Tl Pd
2 18 4
direct
0.375 0.625 0.750
0.625 0.375 0.250
0.110 0.553 0.311
0.110 0.798 0.556
0.125 0.875 0.250
0.202 0.258 0.311
0.202 0.890 0.944
0.258 0.202 0.811
0.258 0.447 0.056
0.447 0.258 0.556
0.447 0.890 0.189
0.553 0.110 0.811
0.553 0.742 0.444
0.742 0.553 0.944
0.742 0.798 0.189
0.798 0.110 0.056
0.798 0.742 0.689
0.875 0.125 0.750
0.890 0.202 0.444
0.890 0.447 0.689
0.000 0.000 0.000
0.000 0.000 0.500
0.000 0.500 0.000
0.500 0.000 0.500
```

[3]
A plane-wave DFT calculation with PBE was carried out for crystalline Pu2Co2Ge at its relaxed geometry.

Results
**Mass density**: 14637 kg/m3
**DOS at the Fermi energy**: 19.26 states/eV per cell
**Space-group type**: C2/c (15)
**Formation energy from the elements**: 17 meV per atom

```
Pu2Co2Ge
1.0
3.864 -2.874 0.000
3.864 2.874 0.000
-2.261 0.000 6.932
Pu Co Ge
4 4 2
direct
0.020 0.806 0.863
0.194 0.980 0.637
0.806 0.020 0.363
0.980 0.194 0.137
0.244 0.412 0.469
0.412 0.244 0.969
0.588 0.756 0.031
0.756 0.588 0.531
0.366 0.634 0.250
0.634 0.366 0.750
```

[4]
A plane-wave DFT calculation with PBE was carried out for crystalline AsPd2Au2 at its relaxed geometry.

Results
**E above lowest polymorph**: 0 meV/atom
**Mass density**: 12645 kg/m3
**DOS at the Fermi energy**: 4.57 states/eV per cell
**Space-group type**: P4/mbm (127)
**Formation energy from the elements**: -38 meV per atom

```
AsPd2Au2
1.0
6.493 0.000 0.000
0.000 6.493 0.000
0.000 0.000 4.247
As Pd Au
2 4 4
direct
0.000 0.000 0.000
0.500 0.500 0.000
0.153 0.347 0.000
0.347 0.847 0.000
0.653 0.153 0.000
0.847 0.653 0.000
0.154 0.654 0.500
0.346 0.154 0.500
0.654 0.846 0.500
0.846 0.346 0.500
```

[5]
A plane-wave DFT calculation with PBE was carried out for crystalline Sc2Ag2Br at its relaxed geometry.

Results
**E above lowest polymorph**: 381 meV/atom
**Mass density**: 5004 kg/m3
**DOS at the Fermi energy**: 4.42 states/eV per cell
**Space-group type**: I4/mmm (139)
**Raw formation energy**: 3.5 kJ/mol of atoms

```
Sc2Ag2Br
1.0
-2.411 2.411 5.504
2.411 -2.411 5.504
2.411 2.411 -5.504
Sc Ag Br
2 2 1
direct
0.250 0.750 0.500
0.750 0.250 0.500
0.120 0.120 0.000
0.880 0.880 0.000
0.500 0.500 0.000
```

[6]
A plane-wave DFT calculation with PBE was carried out for crystalline RbPaAg2S4 at its relaxed geometry.

Results
**Mass density**: 4885 kg/m3
**Space-group type**: I222 (23)
**Raw formation energy**: -80.8 kJ/mol of atoms

```
RbPaAg2S4
1.0
-3.380 3.815 4.353
3.380 -3.815 4.353
3.380 3.815 -4.353
Rb Pa Ag S
1 1 2 4
direct
0.000 0.000 0.000
0.500 0.500 0.000
0.331 0.831 0.500
0.669 0.169 0.500
0.134 0.114 0.596
0.482 0.886 0.020
0.518 0.538 0.404
0.866 0.462 0.980
```

no.,volume (Å³ per cell),VASP energy (eV per atom)
1,243.2,-2.53
2,681.6,-2.78
3,154.0,-9.48
4,179.0,-4.36
5,128.0,-3.97
6,224.5,-4.92